# BaTlN2F

Crystalline BaTlN2F at its relaxed geometry (PBE, the Alexandria database).

## Properties
- Raw formation energy: 0.3442 eV/atom
- Offset from the most stable computed form: 449 meV/atom
- Space group: P4/mmm, No. 123
- Energy: -4.218 eV per atom

Cell: 5.3873 5.3873 4.9969 Å, 90.00 90.00 90.00°
Last column: nearest neighbours and their distance in Å.
Element x y z (fractional)
Tl  0.5000  0.5000  0.5000  8 N 3.67, 4 F 3.81
N  0.5000  0.0000  0.0000  2 Ba 2.69
N  0.0000  0.5000  0.0000  2 Ba 2.69
F  0.0000  0.0000  0.5000  2 Ba 2.50
Ba  0.0000  0.0000  0.0000  2 F 2.50, 4 N 2.69